PmZr2Ta: relaxed, PBE.

Geometry as extended XYZ:
```
4
Lattice="1.5895 0.9177 11.1590 -1.5895 0.9177 11.1590 0.0000 -1.8354 11.1590" Properties=species:S:1:pos:R:3 pbc="T T T"
Pm 0.0000 0.0000 0.0000
Zr 0.0000 0.0000 3.1932
Zr 0.0000 0.0000 30.2839
Ta 0.0000 0.0000 16.7386
```

**ΔE to the lowest computed polymorph**: 166 meV per atom
**Calculated formation energy**: 0.33 eV/atom
**Size of the total moment**: 0.000 μB/atom
**Crystal system**: trigonal

La3Rh: relaxed, PBE.

Geometry as extended XYZ:
```
16
Lattice="7.3944 0.0000 0.0000 0.0000 10.2395 0.0000 0.0000 0.0000 6.5992" Properties=species:S:1:pos:R:3 pbc="T T T"
La 0.2756 2.5599 0.9905
La 1.2511 0.6957 4.4101
La 1.2511 4.4240 4.4101
La 2.4461 5.8155 1.1106
La 2.4461 9.5438 1.1106
La 3.4216 7.6796 4.2901
La 3.9727 2.5599 2.3090
La 4.9483 0.6957 5.4886
La 4.9483 4.4240 5.4886
La 6.1433 5.8155 2.1890
La 6.1433 9.5438 2.1890
La 7.1188 7.6796 5.6086
Rh 0.9381 7.6796 2.8191
Rh 2.7591 2.5599 6.1187
Rh 4.6352 7.6796 0.4805
Rh 6.4563 2.5599 3.7800
```

**Calculated formation energy**: -0.46 eV/atom
**Size of the total moment**: 0.000 μB/atom
**Crystal system**: orthorhombic

Na2SrTeAs: relaxed, PBE.

Geometry as extended XYZ:
```
5
Lattice="5.5505 0.0000 0.0000 0.0000 5.5505 0.0000 0.0000 0.0000 6.3835" Properties=species:S:1:pos:R:3 pbc="T T T"
Na 0.0000 2.7753 0.0000
Na 2.7753 0.0000 0.0000
Sr 0.0000 0.0000 3.1918
Te 0.0000 0.0000 0.0000
As 2.7753 2.7753 3.1918
```

**Formation energy (no corrections)**: -0.43 eV/atom
**Size of the total moment**: 0.200 μB/atom
**Crystal system**: tetragonal

PrHo2Pt: relaxed, PBE.

Geometry as extended XYZ:
```
8
Lattice="3.8279 0.0000 0.0000 0.0000 9.1790 0.0000 -1.9059 0.0000 6.3160" Properties=species:S:1:pos:R:3 pbc="T T T"
Pr -0.0017 2.2947 0.7646
Pr 1.9237 6.8842 5.5514
Ho 0.0067 0.5647 4.5456
Ho 0.0067 4.0248 4.5456
Ho 1.9153 5.1542 1.7704
Ho 1.9153 8.6143 1.7704
Pt 0.0019 6.8842 3.0050
Pt 1.9201 2.2947 3.3110
```

**ΔE to the lowest computed polymorph**: 23 meV per atom
**Calculated formation energy**: -0.66 eV/atom
**Size of the total moment**: 0.000 μB/atom
**Crystal system**: monoclinic

Li2YZr: relaxed, PBE.

Geometry as extended XYZ:
```
4
Lattice="3.1364 0.0000 0.0000 0.0000 4.8045 0.0000 -1.5559 0.0000 6.1135" Properties=species:S:1:pos:R:3 pbc="T T T"
Li 0.0000 0.0000 0.0000
Li 0.0187 2.4022 1.5149
Y 1.5866 0.0000 3.0588
Zr 0.0190 2.4022 4.7322
```

**ΔE to the lowest computed polymorph**: 111 meV per atom
**Calculated formation energy**: 0.25 eV/atom
**Size of the total moment**: 0.000 μB/atom
**Crystal system**: monoclinic

Ta2VNiH: relaxed, PBE.

Geometry as extended XYZ:
```
5
Lattice="4.2322 0.0000 0.0000 0.0000 4.2322 0.0000 0.0000 0.0000 3.5268" Properties=species:S:1:pos:R:3 pbc="T T T"
Ta 0.0000 2.1161 0.0000
Ta 2.1161 0.0000 0.0000
V 0.0000 0.0000 1.7634
Ni 2.1161 2.1161 1.7634
H 0.0000 0.0000 0.0000
```

**ΔE to the lowest computed polymorph**: 39 meV per atom
**Size of the total moment**: 0.000 μB/atom
**Crystal system**: tetragonal

Electronic total energy (eV/f.u.)
-32.4; -24.0; -14.3; -22.6; -17.8; -42.2